Material: Mn2TlPd5
Method: DFT, PBE
State: optimized geometry

```
data_Mn2TlPd5
_cell_length_a 5.613
_cell_length_b 11.129
_cell_length_c 4.108
_cell_angle_alpha 90.00
_cell_angle_beta 90.00
_cell_angle_gamma 90.00
_space_group_name_H-M_alt 'P b a m'
_space_group_IT_number 55
loop_
_space_group_symop_operation_xyz
'x,y,z'
'-x,-y,-z'
'-x,-y,z'
'x,y,-z'
'x+1/2,-y+1/2,-z'
'-x+1/2,y+1/2,z'
'-x+1/2,y+1/2,-z'
'x+1/2,-y+1/2,z'
loop_
_atom_site_label
_atom_site_type_symbol
_atom_site_fract_x
_atom_site_fract_y
_atom_site_fract_z
Mn1 Mn 0.205 0.138 0.000
Tl1 Tl 0.000 0.500 0.500
Pd1 Pd 0.000 0.000 0.500
Pd2 Pd 0.039 0.750 0.500
Pd3 Pd 0.227 0.378 0.000
```

Results
energy relative to the elements = -0.24 eV per atom
E_tot = -6.0776 eV/atom
volume = 257 Å³/cell



Material: Mn2Tl5Pd12
Method: DFT, PBE
State: optimized geometry

```
data_Mn2Tl5Pd12
_cell_length_a 15.188
_cell_length_b 5.621
_cell_length_c 9.881
_cell_angle_alpha 90.00
_cell_angle_beta 117.09
_cell_angle_gamma 90.00
_space_group_name_H-M_alt 'C 1 2/m 1'
_space_group_IT_number 12
loop_
_space_group_symop_operation_xyz
'x,y,z'
'-x,-y,-z'
'-x,y,-z'
'x,-y,z'
'x+1/2,y+1/2,z'
'-x+1/2,-y+1/2,-z'
'-x+1/2,y+1/2,-z'
'x+1/2,-y+1/2,z'
loop_
_atom_site_label
_atom_site_type_symbol
_atom_site_fract_x
_atom_site_fract_y
_atom_site_fract_z
Mn1 Mn 0.000 0.248 0.000
Tl1 Tl 0.000 0.000 0.500
Tl2 Tl 0.171 0.500 0.510
Tl3 Tl 0.193 0.500 0.022
Pd1 Pd 0.000 0.500 0.227
Pd2 Pd 0.003 0.000 0.782
Pd3 Pd 0.150 0.251 0.747
Pd4 Pd 0.167 0.247 0.255
```

Results
energy relative to the elements = -0.04 eV per atom
E_tot = -4.9085 eV/atom
volume = 751 Å³/cell